Entry from Alexandria via LeMat-Bulk: a PBEsol-optimized structure of Ba5Co5O14 (SCAN).

Cell and atoms, written as extended XYZ:
```
24
Lattice="5.613 0.000 0.000 -2.806 4.861 0.000 0.000 0.000 11.808" Properties=species:S:1:pos:R:3 pbc="T T T"
O -1.567 4.145 7.112
O 1.461 4.084 2.352
O 2.806 1.620 0.071
O 0.000 3.240 11.737
O 1.346 0.777 9.457
O 0.000 1.554 2.352
O 1.239 0.716 4.697
O 4.267 0.777 9.457
O 2.806 3.307 9.457
O -1.461 4.084 2.352
O 1.567 4.145 7.112
O 2.806 3.430 4.697
O 4.373 0.716 4.697
O 0.000 1.431 7.112
Ba 2.806 1.620 6.869
Ba 0.000 0.000 0.000
Ba 0.000 3.240 4.940
Ba 0.000 3.240 9.135
Ba 2.806 1.620 2.673
Co 2.806 1.620 10.148
Co 0.000 0.000 3.448
Co 0.000 0.000 8.361
Co 0.000 3.240 1.661
Co 0.000 0.000 5.904
```

## Properties
Space-group type ... No. 164
Formation energy from raw total energies ... -2.085 eV/atom
DFT total energy ... -17.564 eV per atom
Calculated density ... 6.21 g/cm³



Entry from Alexandria via LeMat-Bulk: a PBEsol-optimized structure of ScTlRh2 (SCAN).

Cell and atoms, written as extended XYZ:
```
4
Lattice="-2.069 -3.778 1.389 -0.345 -3.548 -2.789 2.417 -3.744 0.791" Properties=species:S:1:pos:R:3 pbc="T T T"
Rh 0.002 -8.302 -0.457
Rh 0.001 -2.767 -0.152
Sc 0.002 -5.535 -0.305
Tl 0.000 0.000 0.000
```

## Properties
Space-group type ... No. 225
DFT total energy ... -39.191 eV per atom
Calculated density ... 11.53 g/cm³
Relative energy among the computed polymorphs ... 0.0 meV per atom



Entry from Alexandria via LeMat-Bulk: a PBEsol-optimized structure of Ba2P3 (SCAN).

Cell and atoms, written as extended XYZ:
```
5
Lattice="4.202 0.000 0.000 -2.101 3.639 0.000 0.000 0.000 9.609" Properties=species:S:1:pos:R:3 pbc="T T T"
Ba 2.101 1.213 1.928
Ba 0.000 2.426 7.681
P 0.000 2.426 4.469
P 2.101 1.213 5.139
P 0.000 0.000 0.000
```

## Properties
Space-group type ... No. 164
DFT total energy ... -22.692 eV per atom
Calculated density ... 4.16 g/cm³



Entry from Alexandria via LeMat-Bulk: a PBEsol-optimized structure of CaCdCo2 (SCAN).

Cell and atoms, written as extended XYZ:
```
4
Lattice="3.050 0.000 0.000 0.000 3.050 0.000 0.000 0.000 7.282" Properties=species:S:1:pos:R:3 pbc="T T T"
Cd 1.525 1.525 5.857
Co 0.000 0.000 0.381
Co 1.525 1.525 1.309
Ca 0.000 0.000 3.375
```

## Properties
Space-group type ... No. 99
DFT total energy ... -18.532 eV per atom
Calculated density ... 6.63 g/cm³



Entry from Alexandria via LeMat-Bulk: a PBEsol-optimized structure of RuW3 (SCAN).

Cell and atoms, written as extended XYZ:
```
4
Lattice="-0.902 1.827 1.959 -4.073 -2.447 0.406 3.145 -1.782 3.110" Properties=species:S:1:pos:R:3 pbc="T T T"
W -2.488 -0.310 1.182
W 1.121 0.022 2.535
W -0.464 -2.115 1.758
Ru 0.000 0.000 0.000
```

## Properties
Space-group type ... No. 65
DFT total energy ... -60.650 eV per atom
Calculated density ... 17.77 g/cm³



Entry from Alexandria via LeMat-Bulk: a PBEsol-optimized structure of Ba2HgP2 (SCAN).

Cell and atoms, written as extended XYZ:
```
10
Lattice="-1.336 -1.021 -4.065 0.489 -7.836 1.808 -7.660 0.097 2.493" Properties=species:S:1:pos:R:3 pbc="T T T"
P -0.444 -4.662 1.317
P -6.727 -3.077 2.984
P -3.047 -0.714 1.181
P -4.124 -7.025 3.120
Ba -6.550 -5.825 1.236
Ba -1.957 -2.936 -0.999
Ba -2.659 -6.842 0.213
Ba -5.848 -1.919 0.024
Hg -3.585 -3.870 2.151
Hg 0.000 0.000 0.000
```

## Properties
Space-group type ... No. 127
DFT total energy ... -34.566 eV per atom
Calculated density ... 6.25 g/cm³



Q: Number 2 is which compound?
A: ScTlRh2



Q: Look up the calculated density of the first one.
A: 6.21 g/cm³



Q: calculated density of number 2 (ScTlRh2)?
A: 11.53 g/cm³



Q: Number 5 is which compound?
A: RuW3